10
Lattice="-4.415 -2.496 -6.243 -4.117 -4.901 4.871 -8.241 0.690 0.370" Properties=species:S:1:pos:R:3 comment="Rb2RuIBr6 PBE optimized geometry" magmom_total_mub_per_fu=2.15 formation_energy_uncorrected_ev_per_atom=-0.719 dos_ef_per_ev_atom=0.806 spacegroup=I4/mmm pbc="T T T"
I 0.000 0.000 0.000
Ru -4.266 -3.698 -0.686
Br -5.922 -1.870 -0.246
Br -10.851 -4.837 -0.756
Br -2.362 -2.048 -0.380
Br -6.170 -5.349 -0.992
Br -4.333 -3.162 -3.166
Br -4.200 -4.235 1.795
Rb -8.461 -2.752 -3.279
Rb -8.312 -3.954 2.278